--- w ---
# Rb2TlSb2 PBE-GGA relaxed
# Space-group type: P4/mbm, No. 127
data_Rb2TlSb2
_cell_length_a 8.308
_cell_length_b 8.308
_cell_length_c 5.895
_cell_angle_alpha 90.00
_cell_angle_beta 90.00
_cell_angle_gamma 90.00
_space_group_name_H-M_alt 'P 1'
_space_group_IT_number 1
loop_
_space_group_symop_operation_xyz
'x,y,z'
loop_
_atom_site_label
_atom_site_type_symbol
_atom_site_fract_x
_atom_site_fract_y
_atom_site_fract_z
_atom_site_occupancy
Sb1 Sb 0.378 0.878 0.000 1
Sb2 Sb 0.878 0.622 0.000 1
Sb3 Sb 0.622 0.122 0.000 1
Sb4 Sb 0.122 0.378 0.000 1
Tl1 Tl 0.000 0.000 0.000 1
Tl2 Tl 0.500 0.500 0.000 1
Rb1 Rb 0.173 0.673 0.500 1
Rb2 Rb 0.673 0.827 0.500 1
Rb3 Rb 0.827 0.327 0.500 1
Rb4 Rb 0.327 0.173 0.500 1

=====

--- x ---
# Rb2TlSb2 PBE-GGA relaxed
# Space-group type: P4/mbm, No. 127
data_Rb2TlSb2
_cell_length_a 10.727
_cell_length_b 10.727
_cell_length_c 3.520
_cell_angle_alpha 90.00
_cell_angle_beta 90.00
_cell_angle_gamma 90.00
_space_group_name_H-M_alt 'P 1'
_space_group_IT_number 1
loop_
_space_group_symop_operation_xyz
'x,y,z'
loop_
_atom_site_label
_atom_site_type_symbol
_atom_site_fract_x
_atom_site_fract_y
_atom_site_fract_z
_atom_site_occupancy
Sb1 Sb 0.093 0.593 0.500 1
Sb2 Sb 0.593 0.907 0.500 1
Sb3 Sb 0.907 0.407 0.500 1
Sb4 Sb 0.407 0.093 0.500 1
Tl1 Tl 0.000 0.000 0.000 1
Tl2 Tl 0.500 0.500 0.000 1
Rb1 Rb 0.301 0.801 0.000 1
Rb2 Rb 0.801 0.699 0.000 1
Rb3 Rb 0.699 0.199 0.000 1
Rb4 Rb 0.199 0.301 0.000 1

=====

Here are the energies relative to the best structure, in meV per atom: w 0; x 189.

=====

--- w ---
# BC2 PBE-GGA relaxed
# Space-group type: Cm, No. 8
data_BC2
_cell_length_a 4.523
_cell_length_b 4.523
_cell_length_c 4.419
_cell_angle_alpha 99.08
_cell_angle_beta 99.08
_cell_angle_gamma 117.88
_space_group_name_H-M_alt 'P 1'
_space_group_IT_number 1
loop_
_space_group_symop_operation_xyz
'x,y,z'
loop_
_atom_site_label
_atom_site_type_symbol
_atom_site_fract_x
_atom_site_fract_y
_atom_site_fract_z
_atom_site_occupancy
B1 B 0.184 0.853 0.489 1
B2 B 0.520 0.517 0.489 1
B3 B 0.368 0.701 0.061 1
B4 B 0.165 0.498 0.661 1
C1 C 0.018 0.699 0.095 1
C2 C 0.366 0.352 0.095 1
C3 C 0.829 0.162 0.500 1
C4 C 0.726 0.059 0.131 1
C5 C 0.667 0.332 0.991 1
C6 C 0.541 0.201 0.624 1
C7 C 0.999 0.001 0.991 1
C8 C 0.868 0.874 0.624 1

=====

--- x ---
# BC2 PBE-GGA relaxed
# Space-group type: Cm, No. 8
data_BC2
_cell_length_a 5.991
_cell_length_b 5.991
_cell_length_c 5.306
_cell_angle_alpha 101.18
_cell_angle_beta 101.18
_cell_angle_gamma 24.32
_space_group_name_H-M_alt 'P 1'
_space_group_IT_number 1
loop_
_space_group_symop_operation_xyz
'x,y,z'
loop_
_atom_site_label
_atom_site_type_symbol
_atom_site_fract_x
_atom_site_fract_y
_atom_site_fract_z
_atom_site_occupancy
B1 B 0.005 0.005 0.960 1
B2 B 0.919 0.919 0.261 1
B3 B 0.322 0.322 0.146 1
B4 B 0.662 0.662 0.330 1
C1 C 0.257 0.257 0.387 1
C2 C 0.008 0.008 0.521 1
C3 C 0.909 0.909 0.707 1
C4 C 0.584 0.584 0.557 1
C5 C 0.330 0.330 0.661 1
C6 C 0.247 0.247 0.860 1
C7 C 0.668 0.668 0.824 1
C8 C 0.590 0.590 0.035 1

=====

Here are the energies relative to the best structure, in meV per atom: w 17; x 0.

=====

--- w ---
# AlHgW PBE-GGA relaxed
# Space-group type: F-43m, No. 216
data_AlHgW
_cell_length_a 4.352
_cell_length_b 4.352
_cell_length_c 4.352
_cell_angle_alpha 60.00
_cell_angle_beta 60.00
_cell_angle_gamma 60.00
_space_group_name_H-M_alt 'P 1'
_space_group_IT_number 1
loop_
_space_group_symop_operation_xyz
'x,y,z'
loop_
_atom_site_label
_atom_site_type_symbol
_atom_site_fract_x
_atom_site_fract_y
_atom_site_fract_z
_atom_site_occupancy
Hg1 Hg 0.000 0.000 0.000 1
W1 W 0.500 0.500 0.500 1
Al1 Al 0.750 0.750 0.750 1

=====

--- x ---
# AlHgW PBE-GGA relaxed
# Space-group type: F-43m, No. 216
data_AlHgW
_cell_length_a 4.502
_cell_length_b 4.502
_cell_length_c 4.502
_cell_angle_alpha 60.00
_cell_angle_beta 60.00
_cell_angle_gamma 60.00
_space_group_name_H-M_alt 'P 1'
_space_group_IT_number 1
loop_
_space_group_symop_operation_xyz
'x,y,z'
loop_
_atom_site_label
_atom_site_type_symbol
_atom_site_fract_x
_atom_site_fract_y
_atom_site_fract_z
_atom_site_occupancy
Hg1 Hg 0.500 0.500 0.500 1
W1 W 0.750 0.750 0.750 1
Al1 Al 0.000 0.000 0.000 1

=====

Here are the energies relative to the best structure, in meV per atom: w 0; x 81.